Compound: Cr3NiF
Source: Alexandria via LeMat-Bulk
Functional: PBE with a Hubbard U
Structure: relaxed

```
Cr3NiF
1.0
4.7287 0.0000 0.0000
0.0000 4.7287 0.0000
0.0000 0.0000 4.7287
Ni F Cr
1 1 3
direct
0.0000 0.0000 0.0000
0.5000 0.5000 0.5000
0.0000 0.5000 0.0000
0.0000 0.0000 0.5000
0.5000 0.0000 0.0000
```

Computed properties:
The calculation puts the theoretical density at 3.67 g/cm³. The distance to the lowest polymorph of the same formula is 0 meV/atom. The value obtained for the total DFT energy (no corrections) is -4.526 eV per atom.